1.
Material: GeSbPb2
Method: DFT, PBE
State: relaxed

Unit cell a=5.395 b=5.395 c=5.395 alpha=60.00 beta=60.00 gamma=60.00
Positions (direct):
Ge 0.000 0.000 0.000
Sb 0.500 0.500 0.500
Pb 0.250 0.250 0.250
Pb 0.750 0.750 0.750

Output
Excess energy over the best structure of this formula in the dataset in meV/atom: 21

=====

2.
Material: RbSr3V
Method: DFT, PBE
State: relaxed

Unit cell a=6.553 b=6.553 c=6.553 alpha=90.00 beta=90.00 gamma=90.00
Positions (direct):
Rb 0.000 0.000 0.000
Sr 0.000 0.000 0.500
Sr 0.000 0.500 0.000
Sr 0.500 0.000 0.000
V 0.500 0.500 0.500

Output
Excess energy over the best structure of this formula in the dataset in meV/atom: 965
Energy of formation from the pure elements in eV/atom: 1.49

=====

3.
Material: FeSbTe2Mo
Method: DFT, PBE
State: relaxed

Unit cell a=5.082 b=5.082 c=4.880 alpha=90.00 beta=90.00 gamma=90.00
Positions (direct):
Fe 0.000 0.000 0.000
Sb 0.000 0.000 0.500
Te 0.000 0.500 0.000
Te 0.500 0.000 0.000
Mo 0.500 0.500 0.500

Output
Excess energy over the best structure of this formula in the dataset in meV/atom: 0

=====

4.
Material: TbPr2Ag6
Method: DFT, PBE
State: relaxed

Unit cell a=8.333 b=8.333 c=3.554 alpha=90.00 beta=90.00 gamma=120.00
Positions (direct):
Tb 0.000 0.000 0.000
Pr 0.333 0.667 0.000
Pr 0.667 0.333 0.000
Ag 0.000 0.331 0.500
Ag 0.000 0.669 0.500
Ag 0.331 0.000 0.500
Ag 0.331 0.331 0.500
Ag 0.669 0.000 0.500
Ag 0.669 0.669 0.500

Output
Energy of formation from the pure elements in eV/atom: -0.25

=====

Results for M_tot: 0.00, 5.85, 1.29, 0.00 (in Bohr magnetons per cell, following the order of the records).